## KPm3 (PBE)

Data for a relaxed KPm3 crystal.

a b c (Å): 5.3320 5.3320 5.3320
angles (deg): 90.00 90.00 90.00
Last column: nearest neighbours and their distance in Å.
Space group Pm-3m (No. 221)
One atom of each set of equivalent atoms:
K  0.0000  0.0000  0.0000 [1 per cell]  12 Pm 3.77
Pm  0.0000  0.5000  0.5000 [3 per cell]  4 K 3.77, 8 Pm 3.77

Properties
Its energy above the lowest structure with this stoichiometry is 11 meV per atom.